Density functional theory data (PBE) for an optimized crystal structure of Al2SiBr.

## Properties
distance to the lowest polymorph of the same formula: 0.277 eV/atom
volume: 79.88 Å³ per cell
ΔE_f (raw): 241 meV per atom

a = 6.2887 Å, b = 6.2887 Å, c = 6.2887 Å
α = 152.01°, β = 136.55°, γ = 52.48°
Element x y z (fractional)
Al (0.0100, 0.0100, 0.0000)
Al (0.7905, 0.2905, 0.5000)
Si (0.2067, 0.7067, 0.5000)
Br (0.4928, 0.4928, 0.0000)